# FePN2F

FePN2F after structural relaxation (PBE+U, Alexandria via LeMat-Bulk).

Summary:
**E**: -5.71 eV/atom
**Calculated volume**: 9.775 A^3/atom

Cell: 3.493 3.493 4.005 Å, 90.00 90.00 90.00°
Each line ends with the local moment (μB).
Element x y z (fractional)
P: 0.000 0.000 0.000  -0.02
N: 0.000 0.500 0.000  0.04
N: 0.500 0.000 0.000  0.04
Fe: 0.500 0.500 0.500  3.74
F: 0.000 0.000 0.500  0.03